[1]
Material: Li15Tl2Zn2
Method: DFT, PBE
State: optimized geometry

abc: 7.4311 7.4311 7.4311
angles: 67.11 67.11 67.11
Last column: nearest neighbours and their distance in Å.
Fractional coordinates of all 19 atoms:
Li 0.4350 0.4350 0.8106  4 Li 2.54-2.73
Li 0.2978 0.7022 0.0000  4 Li 2.45-2.54
Li 0.0000 0.2978 0.7022  4 Li 2.45-2.54
Li 0.8106 0.4350 0.4350  4 Li 2.54-2.73
Li 0.5650 0.1894 0.5650  4 Li 2.54-2.73
Li 0.1894 0.5650 0.5650  4 Li 2.54-2.73
Li 0.7022 0.0000 0.2978  4 Li 2.45-2.54
Li 0.0000 0.0000 0.5000  2 Zn 2.75, 4 Li 2.91
Li 0.5000 0.0000 0.0000  2 Zn 2.75, 4 Li 2.91
Tl 0.7141 0.7141 0.7141  15 Li 3.01-3.19
Li 0.5650 0.5650 0.1894  4 Li 2.54-2.73
Li 0.0000 0.5000 0.0000  2 Zn 2.75, 4 Li 2.91
Tl 0.2859 0.2859 0.2859  15 Li 3.01-3.19
Li 0.4350 0.8106 0.4350  4 Li 2.54-2.73
Li 0.0000 0.7022 0.2978  4 Li 2.45-2.54
Zn 0.0854 0.0854 0.0854  9 Li 2.75-2.85, 1 Zn 2.93
Zn 0.9146 0.9146 0.9146  9 Li 2.75-2.85, 1 Zn 2.93
Li 0.7022 0.2978 0.0000  4 Li 2.45-2.54
Li 0.2978 0.0000 0.7022  4 Li 2.45-2.54

Output
- DFT formation energy (eV/atom) = -0.05
- symmetry = No. 166
- total energy (eV/atom) = -1.942
- spin magnetization (μB/cell) = 0.00


[2]
Material: NdSmSc
Method: DFT, PBE
State: optimized geometry

abc: 3.5588 3.5588 7.7786
angles: 103.22 103.22 90.00
Last column: nearest neighbours and their distance in Å.
Fractional coordinates of all 3 atoms:
Sm 0.0067 0.0067 0.0134  4 Sc 3.44, 4 Sm 3.56, 4 Nd 3.65
Sc 0.6660 0.6660 0.3320  4 Sm 3.44, 4 Nd 3.46, 4 Sc 3.56
Nd 0.3273 0.3273 0.6546  4 Sc 3.46, 4 Nd 3.56, 4 Sm 3.65

Output
- DFT formation energy (eV/atom) = 0.06
- symmetry = No. 107
- total energy (eV/atom) = -5.216
- spin magnetization (μB/cell) = 0.00